1.
VASP calculation (PBE) on crystalline LuCdAu4 at its relaxed geometry.

Computed properties:
For the size of the total moment, the calculation gives 0.0 Bohr magnetons per cell. The total energy comes out at -3.478 eV per atom. The calculation puts the density of states at the Fermi level at 0.99 states/eV per atom. The calculated formation energy is -0.387 eV/atom.

a = 5.5592 Å, b = 5.5592 Å, c = 5.5592 Å
α = 60.00°, β = 60.00°, γ = 60.00°
Closest atoms and distances in Å follow each position.
Element x y z (fractional)
Lu: 0.0000 0.0000 0.0000  12 Au 3.26, 4 Cd 3.40
Cd: 0.2500 0.2500 0.2500  12 Au 3.26, 4 Lu 3.40
Au: 0.1253 0.6249 0.6249  6 Au 2.78
Au: 0.6249 0.1253 0.6249  6 Au 2.78
Au: 0.6249 0.6249 0.1253  6 Au 2.78
Au: 0.6249 0.6249 0.6249  6 Au 2.78

---

2.
VASP calculation (PBE) on crystalline Zn2H3F6 at its relaxed geometry.

Computed properties:
For the size of the total moment, the calculation gives 0.0 Bohr magnetons per cell. The total energy comes out at -3.836 eV per atom. The calculation puts the density of states at the Fermi level at 0.17 states/eV per atom.

a = 5.9177 Å, b = 5.9177 Å, c = 9.8963 Å
α = 107.53°, β = 107.53°, γ = 60.08°
Closest atoms and distances in Å follow each position.
Element x y z (fractional)
Zn: 0.1649 0.6648 0.9946  6 F 2.18-2.21
Zn: 0.3352 0.8351 0.5054  6 F 2.18-2.21
Zn: 0.6648 0.1649 0.4946  6 F 2.18-2.21
Zn: 0.8351 0.3352 0.0054  6 F 2.18-2.21
H: 0.0605 0.9395 0.7500  2 F 1.16
H: 0.2501 0.4392 0.2500  2 F 1.16
H: 0.4392 0.2501 0.7500  2 F 1.16
H: 0.5608 0.7499 0.2500  2 F 1.16
H: 0.7499 0.5608 0.7500  2 F 1.16
H: 0.9395 0.0605 0.2500  2 F 1.16
F: 0.0398 0.9277 0.6283  1 H 1.16
F: 0.0723 0.9602 0.8717  1 H 1.16
F: 0.1617 0.4268 0.1280  1 H 1.16
F: 0.3382 0.4602 0.3719  1 H 1.16
F: 0.4268 0.1617 0.6280  1 H 1.16
F: 0.4602 0.3382 0.8719  1 H 1.16
F: 0.5398 0.6618 0.1281  1 H 1.16
F: 0.5732 0.8383 0.3720  1 H 1.16
F: 0.6618 0.5398 0.6281  1 H 1.16
F: 0.8383 0.5732 0.8720  1 H 1.16
F: 0.9277 0.0398 0.1283  1 H 1.16
F: 0.9602 0.0723 0.3717  1 H 1.16

---

3.
VASP calculation (PBE) on crystalline TlCdPd2 at its relaxed geometry.

Computed properties:
For the size of the total moment, the calculation gives 0.0 Bohr magnetons per cell. The total energy comes out at -3.369 eV per atom. The calculation puts the density of states at the Fermi level at 0.25 states/eV per atom. The calculated formation energy is 0.048 eV/atom.

a = 9.8768 Å, b = 9.8768 Å, c = 9.8768 Å
α = 155.42°, β = 155.42°, γ = 35.03°
Closest atoms and distances in Å follow each position.
Element x y z (fractional)
Tl: 0.0000 0.0000 0.0000  4 Pd 2.80, 4 Cd 2.97
Tl: 0.7500 0.2500 0.5000  4 Pd 2.80, 4 Cd 2.97
Cd: 0.2500 0.7500 0.5000  4 Pd 2.77, 4 Tl 2.97
Cd: 0.5000 0.5000 0.0000  4 Pd 2.77, 4 Tl 2.97
Pd: 0.1330 0.6250 0.0080  2 Cd 2.77, 2 Tl 2.80, 4 Pd 2.93-3.02
Pd: 0.3750 0.3830 0.5080  2 Cd 2.77, 2 Tl 2.80, 4 Pd 2.93-3.02
Pd: 0.6170 0.1250 0.9920  2 Cd 2.77, 2 Tl 2.80, 4 Pd 2.93-3.02
Pd: 0.8750 0.8670 0.4920  2 Cd 2.77, 2 Tl 2.80, 4 Pd 2.93-3.02

---

Q: What is the size of the total moment in the first record?
A: 0.0 Bohr magnetons per cell